(1)
MgTlIn2 at its PBEsol-relaxed geometry, computed with SCAN.

## Properties
formation energy from the elements	-0.10	eV per formula unit
space-group type	I-4m2 (119)

The structure in extended XYZ format:
```
4
Lattice="-4.3236 0.5458 1.4575 -1.5237 -0.6079 -4.2924 2.6005 -4.5790 2.1850" Properties=species:S:1:pos:R:3 pbc="T T T"
Mg -2.9237 -0.0311 -1.4175
In 0.0000 0.0000 0.0000
In -2.3234 -2.0322 1.1125
Tl -0.9234 -2.6090 -1.7624
```

=====

(2)
Tl2SiSb at its PBEsol-relaxed geometry, computed with SCAN.

## Properties
space-group type	I4/mmm (139)
formation energy from raw total energies	169	kJ/mol of formula units

The structure in extended XYZ format:
```
4
Lattice="4.3641 0.0000 0.0000 0.0000 4.3641 0.0000 -2.1820 -2.1820 5.2818" Properties=species:S:1:pos:R:3 pbc="T T T"
Tl 2.1820 0.0000 2.6409
Tl 0.0000 2.1820 2.6409
Sb 2.1820 2.1820 0.0000
Si 0.0000 0.0000 0.0000
```

=====

(3)
CuRe2Pb at its PBEsol-relaxed geometry, computed with SCAN.

## Properties
formation energy from the elements	3.60	eV per formula unit
space-group type	I-4m2 (119)

The structure in extended XYZ format:
```
4
Lattice="-2.1344 -3.4735 -0.8226 1.7592 0.3858 4.3202 -2.7015 0.9454 3.0175" Properties=species:S:1:pos:R:3 pbc="T T T"
Cu -2.4179 -1.2640 1.0975
Pb -2.7473 -1.7032 3.8063
Re 0.0000 0.0000 0.0000
Re -0.3294 -0.4391 2.7088
```

=====

(4)
LaTcAs2Br at its PBEsol-relaxed geometry, computed with SCAN.

## Properties
space-group type	P4/mmm (123)
formation energy from raw total energies	-205	kJ/mol of formula units

The structure in extended XYZ format:
```
5
Lattice="4.7335 0.0000 0.0000 0.0000 4.7335 0.0000 0.0000 0.0000 5.1638" Properties=species:S:1:pos:R:3 pbc="T T T"
As 0.0000 2.3668 0.0000
As 2.3668 0.0000 0.0000
La 2.3668 2.3668 2.5819
Tc 0.0000 0.0000 0.0000
Br 0.0000 0.0000 2.5819
```